Computed, not measured: crystalline Y2Ta2Pb at its relaxed geometry at the GGA-PBEsol level of DFT.

## Properties
- E_form (eV per atom) = 0.286

Unit cell a=3.6869 b=3.6869 c=19.1906 alpha=90.00 beta=90.00 gamma=90.00
Space group I4/mmm (No. 139)
Unique sites:
Y1 0.0000 0.0000 0.1117 (multiplicity 4)
Ta1 0.0000 0.5000 0.2500 (multiplicity 4)
Pb1 0.0000 0.0000 0.5000 (multiplicity 2)

---

Computed, not measured: crystalline CaLaIn2 at its relaxed geometry at the GGA-PBEsol level of DFT.

## Properties
- E_form (eV per atom) = -0.499

Unit cell a=3.3570 b=4.5852 c=7.1860 alpha=90.00 beta=90.00 gamma=90.00
Space group Pmmm (No. 47)
Unique sites:
Ca1 0.0000 0.0000 0.0000 (multiplicity 1)
La1 0.0000 0.0000 0.5000 (multiplicity 1)
In1 0.5000 0.5000 0.2352 (multiplicity 2)

---

Computed, not measured: crystalline CaInSi2 at its relaxed geometry at the GGA-PBEsol level of DFT.

## Properties
- raw formation energy (meV per atom) = 156.4

Unit cell a=6.9562 b=6.9562 c=6.9562 alpha=90.00 beta=90.00 gamma=90.00
Space group F-43m (No. 216)
Unique sites:
Ca1 0.0000 0.0000 0.0000 (multiplicity 4)
In1 0.2500 0.2500 0.7500 (multiplicity 4)
Si1 0.0000 0.0000 0.5000 (multiplicity 4)
Si2 0.2500 0.2500 0.2500 (multiplicity 4)

---

Computed, not measured: crystalline Re2TeAs at its relaxed geometry at the GGA-PBEsol level of DFT.

## Properties
- raw formation energy (meV per atom) = 715.0
- ΔE to the lowest computed polymorph (meV/atom) = 493

Unit cell a=3.1511 b=4.3244 c=9.6876 alpha=90.00 beta=90.00 gamma=90.00
Space group Imm2 (No. 44)
Unique sites:
Re1 0.0000 0.0000 0.0000 (multiplicity 2)
Re2 0.0000 0.5000 0.2333 (multiplicity 2)
Te1 0.0000 0.5000 0.7622 (multiplicity 2)
As1 0.0000 0.0000 0.5279 (multiplicity 2)

---

Computed, not measured: crystalline As2PWBr at its relaxed geometry at the GGA-PBEsol level of DFT.

## Properties
- raw formation energy (meV per atom) = 950.2

Unit cell a=4.8522 b=4.8522 c=4.9597 alpha=90.00 beta=90.00 gamma=90.00
Space group P4/mmm (No. 123)
Unique sites:
As1 0.0000 0.5000 0.0000 (multiplicity 2)
P1 0.0000 0.0000 0.5000 (multiplicity 1)
W1 0.5000 0.5000 0.0000 (multiplicity 1)
Br1 0.5000 0.5000 0.5000 (multiplicity 1)

---

Computed, not measured: crystalline ZnAsCl2 at its relaxed geometry at the GGA-PBEsol level of DFT.

## Properties
- raw formation energy (meV per atom) = -237.4

Unit cell a=3.5046 b=5.9632 c=8.5295 alpha=90.00 beta=90.00 gamma=90.00
Space group Cmm2 (No. 35)
Unique sites:
Zn1 0.0000 0.0000 0.0000 (multiplicity 2)
As1 0.0000 0.5000 0.7767 (multiplicity 2)
Cl1 0.0000 0.0000 0.5645 (multiplicity 2)
Cl2 0.0000 0.5000 0.1771 (multiplicity 2)

---

Computed, not measured: crystalline InCu6ClO8 at its relaxed geometry at the GGA-PBEsol level of DFT.

## Properties
- raw formation energy (meV per atom) = -792.4

Unit cell a=9.0707 b=9.0707 c=9.0707 alpha=90.00 beta=90.00 gamma=90.00
Space group Fm-3m (No. 225)
Unique sites:
In1 0.0000 0.0000 0.0000 (multiplicity 4)
Cu1 0.0000 0.2500 0.2500 (multiplicity 24)
Cl1 0.0000 0.0000 0.5000 (multiplicity 4)
O1 0.1430 0.1430 0.1430 (multiplicity 32)

---

Computed, not measured: crystalline SrAs2Rh2 at its relaxed geometry at the GGA-PBEsol level of DFT.

## Properties
- E_form (eV per atom) = -0.805

Unit cell a=4.0186 b=4.0186 c=11.9414 alpha=90.00 beta=90.00 gamma=90.00
Space group I4/mmm (No. 139)
Unique sites:
Sr1 0.0000 0.0000 0.0000 (multiplicity 2)
As1 0.0000 0.0000 0.3660 (multiplicity 4)
Rh1 0.0000 0.5000 0.2500 (multiplicity 4)

---

Computed, not measured: crystalline Ba2CaBe at its relaxed geometry at the GGA-PBEsol level of DFT.

## Properties
- E_form (eV per atom) = 0.368

Unit cell a=4.0405 b=5.6441 c=14.2123 alpha=90.00 beta=90.00 gamma=90.00
Space group Amm2 (No. 38)
Unique sites:
Ba1 0.0000 0.0000 0.0000 (multiplicity 2)
Ba2 0.5000 0.0000 0.3155 (multiplicity 2)
Ca1 0.5000 0.0000 0.6348 (multiplicity 2)
Be1 0.0000 0.0000 0.7789 (multiplicity 2)

---

Computed, not measured: crystalline CaY at its relaxed geometry at the GGA-PBEsol level of DFT.

## Properties
- E_form (eV per atom) = 0.053
- ΔE to the lowest computed polymorph (meV/atom) = 0

Unit cell a=3.6582 b=3.6582 c=10.4144 alpha=90.00 beta=90.00 gamma=90.00
Space group P4/nmm (No. 129, origin choice 2)
Unique sites:
Ca1 0.2500 0.2500 0.1396 (multiplicity 2)
Y1 0.2500 0.2500 0.6072 (multiplicity 2)

---

Computed, not measured: crystalline LaAlSi2 at its relaxed geometry at the GGA-PBEsol level of DFT.

## Properties
- raw formation energy (meV per atom) = -547.5

Unit cell a=4.1527 b=4.1527 c=11.2869 alpha=90.00 beta=90.00 gamma=120.00
Space group P-3m1 (No. 164)
Unique sites:
La1 0.0000 0.0000 0.1837 (multiplicity 2)
Al1 0.3333 0.6667 0.5825 (multiplicity 2)
Si1 0.3333 0.6667 0.3557 (multiplicity 2)
Si2 0.3333 0.6667 0.9950 (multiplicity 2)

---

Computed, not measured: crystalline ErGaO3 at its relaxed geometry at the GGA-PBEsol level of DFT.

## Properties
- raw formation energy (meV per atom) = -2825.2

Unit cell a=5.9827 b=5.9827 c=11.5655 alpha=90.00 beta=90.00 gamma=120.00
Space group P6_3cm (No. 185)
Unique sites:
Er1 0.0000 0.0000 0.0000 (multiplicity 2)
Er2 0.3333 0.6667 0.4575 (multiplicity 4)
Ga1 0.0000 0.3341 0.2250 (multiplicity 6)
O1 0.0000 0.0000 0.2014 (multiplicity 2)
O2 0.0000 0.3051 0.3887 (multiplicity 6)
O3 0.0000 0.3612 0.0627 (multiplicity 6)
O4 0.3333 0.6667 0.2456 (multiplicity 4)

---

Computed, not measured: crystalline FeCoNi2 at its relaxed geometry at the GGA-PBEsol level of DFT.

## Properties
- E_form (eV per atom) = -0.029

Unit cell a=4.8798 b=7.1008 c=2.4360 alpha=90.00 beta=90.00 gamma=90.00
Space group Cmmm (No. 65)
Unique sites:
Fe1 0.0000 0.0000 0.0000 (multiplicity 2)
Co1 0.0000 0.5000 0.0000 (multiplicity 2)
Ni1 0.2500 0.2500 0.5000 (multiplicity 4)

---

Computed, not measured: crystalline Ba4SiGeS8 at its relaxed geometry at the GGA-PBEsol level of DFT.

## Properties
- raw formation energy (meV per atom) = -1556.9

Unit cell a=6.7278 b=12.2003 c=8.8954 alpha=90.00 beta=90.00 gamma=90.00
Space group Pmc2_1 (No. 26)
Unique sites:
Ba1 0.0000 0.0806 0.0000 (multiplicity 2)
Ba2 0.0000 0.3222 0.6412 (multiplicity 2)
Ba3 0.5000 0.1602 0.3873 (multiplicity 2)
Ba4 0.5000 0.4191 0.0354 (multiplicity 2)
Si1 0.5000 0.1732 0.7873 (multiplicity 2)
Ge1 0.0000 0.3257 0.2457 (multiplicity 2)
S1 0.0000 0.1549 0.3329 (multiplicity 2)
S2 0.0000 0.3467 0.0003 (multiplicity 2)
S3 0.2443 0.0987 0.6951 (multiplicity 4)
S4 0.2699 0.3940 0.3466 (multiplicity 4)
S5 0.5000 0.1551 0.0244 (multiplicity 2)
S6 0.5000 0.3368 0.7056 (multiplicity 2)

---

Computed, not measured: crystalline Re3SbMo at its relaxed geometry at the GGA-PBEsol level of DFT.

## Properties
- raw formation energy (meV per atom) = 2182.1

Unit cell a=4.6769 b=4.6769 c=4.6769 alpha=90.00 beta=90.00 gamma=90.00
Space group Pm-3m (No. 221)
Unique sites:
Re1 0.0000 0.0000 0.5000 (multiplicity 3)
Sb1 0.5000 0.5000 0.5000 (multiplicity 1)
Mo1 0.0000 0.0000 0.0000 (multiplicity 1)

---

Computed, not measured: crystalline CrPbSe at its relaxed geometry at the GGA-PBEsol level of DFT.

## Properties
- raw formation energy (meV per atom) = 48.1

Unit cell a=3.3950 b=3.3950 c=6.5982 alpha=90.00 beta=90.00 gamma=120.00
Space group P3m1 (No. 156)
Unique sites:
Cr1 0.0000 0.0000 0.0000 (multiplicity 1)
Pb1 0.6667 0.3333 0.6492 (multiplicity 1)
Se1 0.3333 0.6667 0.2033 (multiplicity 1)

---

Computed, not measured: crystalline BiSeBr2N at its relaxed geometry at the GGA-PBEsol level of DFT.

## Properties
- raw formation energy (meV per atom) = 981.4
- ΔE to the lowest computed polymorph (meV/atom) = 359

Unit cell a=5.6789 b=5.6789 c=5.4944 alpha=90.00 beta=90.00 gamma=90.00
Space group P4/mmm (No. 123)
Unique sites:
Bi1 0.0000 0.0000 0.0000 (multiplicity 1)
Se1 0.0000 0.0000 0.5000 (multiplicity 1)
Br1 0.0000 0.5000 0.0000 (multiplicity 2)
N1 0.5000 0.5000 0.5000 (multiplicity 1)

---

Computed, not measured: crystalline SrTc2P at its relaxed geometry at the GGA-PBEsol level of DFT.

## Properties
- E_form (eV per atom) = 0.720
- ΔE to the lowest computed polymorph (meV/atom) = 487

Unit cell a=5.7482 b=9.3601 c=2.8129 alpha=90.00 beta=119.31 gamma=90.00
Space group C2/m (No. 12)
Unique sites:
Sr1 0.0000 0.0000 0.0000 (multiplicity 2)
Tc1 0.2500 0.2500 0.5000 (multiplicity 4)
P1 0.0000 0.5000 0.0000 (multiplicity 2)

---

Computed, not measured: crystalline LaAl2P at its relaxed geometry at the GGA-PBEsol level of DFT.

## Properties
- E_form (eV per atom) = -0.409

Unit cell a=5.7339 b=6.8370 c=4.4936 alpha=90.00 beta=90.00 gamma=90.00
Space group Cmmm (No. 65)
Unique sites:
La1 0.0000 0.0000 0.0000 (multiplicity 2)
Al1 0.0000 0.3119 0.5000 (multiplicity 4)
P1 0.0000 0.5000 0.0000 (multiplicity 2)

---

Computed, not measured: crystalline NiHgP2 at its relaxed geometry at the GGA-PBEsol level of DFT.

## Properties
- E_form (eV per atom) = -0.049

Unit cell a=4.1960 b=3.1717 c=6.1994 alpha=90.00 beta=101.60 gamma=90.00
Space group Pm (No. 6)
Unique sites:
Ni1 0.0000 0.0000 0.0000 (multiplicity 1)
Hg1 0.9314 0.5000 0.6601 (multiplicity 1)
P1 0.5160 0.0000 0.1015 (multiplicity 1)
P2 0.8515 0.5000 0.2330 (multiplicity 1)